Record 1
Material: AsPt4
Method: DFT, PBE
State: optimized geometry

Calculated values
Energy in eV for the cell shown: -55.24
Magnetic moment in μB/f.u.: 0.0
Formation enthalpy at 0 K in eV per atom: 0.2386

The structure in CIF format:
```
data_AsPt4
_chemical_formula_sum 'As2 Pt8'
_cell_length_a 3.644
_cell_length_b 3.644
_cell_length_c 13.529
_cell_angle_alpha 90.00
_cell_angle_beta 90.00
_cell_angle_gamma 90.00
_symmetry_space_group_name_H-M 'I 4/m m m'
_symmetry_Int_Tables_number 139
_symmetry_space_group_name_Hall '-I 4 2'
loop_
_atom_site_label
_atom_site_type_symbol
_atom_site_fract_x
_atom_site_fract_y
_atom_site_fract_z
As1 As 0.000 0.000 0.000
Pt1 Pt 0.000 0.000 0.404
Pt2 Pt 0.000 0.500 0.250
```


Record 2
Material: AsPt2
Method: DFT, PBE
State: optimized geometry

Calculated values
Energy in eV for the cell shown: -34.32
Magnetic moment in μB/f.u.: 0.0
Formation enthalpy at 0 K in eV per atom: -0.1430

The structure in CIF format:
```
data_AsPt2
_chemical_formula_sum 'As2 Pt4'
_cell_length_a 3.951
_cell_length_b 7.439
_cell_length_c 3.466
_cell_angle_alpha 90.00
_cell_angle_beta 90.00
_cell_angle_gamma 90.00
_symmetry_space_group_name_H-M 'P n n m'
_symmetry_Int_Tables_number 58
loop_
_symmetry_equiv_pos_as_xyz
'x,y,z'
'-x,-y,-z'
'-x,-y,z'
'x,y,-z'
'x+1/2,-y+1/2,-z+1/2'
'-x+1/2,y+1/2,z+1/2'
'-x+1/2,y+1/2,-z+1/2'
'x+1/2,-y+1/2,z+1/2'
loop_
_atom_site_label
_atom_site_type_symbol
_atom_site_fract_x
_atom_site_fract_y
_atom_site_fract_z
As1 As 0.000 0.000 0.000
Pt1 Pt 0.153 0.326 0.000
```


Record 3
Material: AsPt3
Method: DFT, PBE
State: optimized geometry

Calculated values
Energy in eV for the cell shown: -22.83
Magnetic moment in μB/f.u.: 0.0
Formation enthalpy at 0 K in eV per atom: -0.0155

The structure in CIF format:
```
data_AsPt3
_chemical_formula_sum 'As1 Pt3'
_cell_length_a 2.899
_cell_length_b 3.864
_cell_length_c 5.745
_cell_angle_alpha 90.00
_cell_angle_beta 90.00
_cell_angle_gamma 90.00
_symmetry_space_group_name_H-M 'P m m m'
_symmetry_Int_Tables_number 47
loop_
_symmetry_equiv_pos_as_xyz
'x,y,z'
'-x,-y,-z'
'-x,-y,z'
'x,y,-z'
'x,-y,-z'
'-x,y,z'
'-x,y,-z'
'x,-y,z'
loop_
_atom_site_label
_atom_site_type_symbol
_atom_site_fract_x
_atom_site_fract_y
_atom_site_fract_z
As1 As 0.000 0.000 0.000
Pt1 Pt 0.000 0.000 0.500
Pt2 Pt 0.500 0.500 0.247
```


Record 4
Material: AsPt
Method: DFT, PBE
State: optimized geometry

Calculated values
Energy in eV for the cell shown: -66.11
Magnetic moment in μB/f.u.: 0.0
Formation enthalpy at 0 K in eV per atom: -0.1636

The structure in CIF format:
```
data_AsPt
_chemical_formula_sum 'As6 Pt6'
_cell_length_a 10.512
_cell_length_b 3.685
_cell_length_c 7.007
_cell_angle_alpha 90.00
_cell_angle_beta 128.68
_cell_angle_gamma 90.00
_symmetry_space_group_name_H-M 'C 1 m 1'
_symmetry_Int_Tables_number 8
loop_
_symmetry_equiv_pos_as_xyz
'x,y,z'
'x,-y,z'
'x+1/2,y+1/2,z'
'x+1/2,-y+1/2,z'
loop_
_atom_site_label
_atom_site_type_symbol
_atom_site_fract_x
_atom_site_fract_y
_atom_site_fract_z
As1 As 0.000 0.000 0.000
As2 As 0.064 0.500 0.671
As3 As 0.323 0.500 0.305
Pt1 Pt 0.097 0.500 0.335
Pt2 Pt 0.236 0.000 0.990
Pt3 Pt 0.325 0.000 0.692
```


Record 5
Material: As5Pt3
Method: DFT, PBE
State: optimized geometry

Calculated values
Energy in eV for the cell shown: -82.70
Magnetic moment in μB/f.u.: 0.0
Formation enthalpy at 0 K in eV per atom: 0.0027

The structure in CIF format:
```
data_As5Pt3
_chemical_formula_sum 'As10 Pt6'
_cell_length_a 8.0361
_cell_length_b 8.0361
_cell_length_c 5.2383
_cell_angle_alpha 90.00
_cell_angle_beta 90.00
_cell_angle_gamma 120.00
_symmetry_space_group_name_H-M 'P 63/m c m'
_symmetry_Int_Tables_number 193
_symmetry_space_group_name_Hall '-P 6c 2'
loop_
_atom_site_label
_atom_site_type_symbol
_atom_site_fract_x
_atom_site_fract_y
_atom_site_fract_z
As1 As 0.0000 0.2750 0.2500
As2 As 0.3333 0.6667 0.0000
Pt1 Pt 0.0000 0.3836 0.7500
```


Record 6
Material: AsPt3
Method: DFT, PBE
State: optimized geometry

Calculated values
Energy in eV for the cell shown: -68.07
Magnetic moment in μB/f.u.: 0.0
Formation enthalpy at 0 K in eV per atom: 0.0203

The structure in CIF format:
```
data_AsPt3
_chemical_formula_sum 'As3 Pt9'
_cell_length_a 8.8994
_cell_length_b 8.8994
_cell_length_c 2.8274
_cell_angle_alpha 90.00
_cell_angle_beta 90.00
_cell_angle_gamma 120.00
_symmetry_space_group_name_H-M 'R -3 m'
_symmetry_Int_Tables_number 166
_symmetry_space_group_name_Hall '-R 3 2"'
loop_
_atom_site_label
_atom_site_type_symbol
_atom_site_fract_x
_atom_site_fract_y
_atom_site_fract_z
As1 As 0.0000 0.0000 0.0000
Pt1 Pt 0.0000 0.5000 0.0000
```


Please write out number 1 again, unchanged.
Material: AsPt4
Method: DFT, PBE
State: optimized geometry

Calculated values
Energy in eV for the cell shown: -55.24
Magnetic moment in μB/f.u.: 0.0
Formation enthalpy at 0 K in eV per atom: 0.2386

The structure in CIF format:
```
data_AsPt4
_chemical_formula_sum 'As2 Pt8'
_cell_length_a 3.644
_cell_length_b 3.644
_cell_length_c 13.529
_cell_angle_alpha 90.00
_cell_angle_beta 90.00
_cell_angle_gamma 90.00
_symmetry_space_group_name_H-M 'I 4/m m m'
_symmetry_Int_Tables_number 139
_symmetry_space_group_name_Hall '-I 4 2'
loop_
_atom_site_label
_atom_site_type_symbol
_atom_site_fract_x
_atom_site_fract_y
_atom_site_fract_z
As1 As 0.000 0.000 0.000
Pt1 Pt 0.000 0.000 0.404
Pt2 Pt 0.000 0.500 0.250
```


Among the records above, which one has the highest formation enthalpy at 0 K? AsPt4


What is the formula in the second record? AsPt2